The following is a DFT calculation (PBE) of an optimized crystal structure of LiHo2Hf3N6.

Cell: 14.3031 3.2677 6.6346 Å, 90.00 104.71 90.00°
Last column: nearest neighbours and their distance in Å.
Space group C2/m (No. 12)
One atom of each set of equivalent atoms:
Li 0.0000 0.0000 0.0000 [2 per cell]  6 N 2.38-2.45
Ho 0.1616 0.5000 0.3221 [4 per cell]  6 N 2.34-2.44
Hf 0.0000 0.0000 0.5000 [2 per cell]  6 N 2.22-2.24
Hf 0.1609 0.5000 0.8356 [4 per cell]  6 N 2.15-2.32
N 0.0061 0.5000 0.7289 [4 per cell]  3 Hf 2.15-2.22, 1 Ho 2.34
N 0.1622 0.0000 0.5943 [4 per cell]  3 Hf 2.24-2.29, 3 Ho 2.43-2.44
N 0.1714 0.0000 0.0688 [4 per cell]  3 Hf 2.23-2.32, 2 Ho 2.37, 1 Li 2.38

Calculated values
- Total moment: 0.00 μB per formula unit
- DOS(E_F): 0.11 states/eV/atom
- Crystal system: monoclinic
- E_tot: -222.3 eV per cell